1.
# Ag5Se2

A relaxed Ag5Se2 crystal (GGA-PBE, Alexandria via LeMat-Bulk).

Computed properties:
V (Å³/f.u.): 143.69
Crystal system: monoclinic

a = 8.1348 Å, b = 8.1348 Å, c = 5.8936 Å
α = 103.53°, β = 103.53°, γ = 49.70°
Last column: nearest neighbours and their distance in Å.
Element x y z (fractional)
Ag 0.0024 0.3960 0.2558  2 Se 2.69-2.81, 4 Ag 2.91-3.00
Ag 0.1449 0.8551 0.7500  4 Ag 2.90-2.95, 4 Se 2.93-2.94
Ag 0.3960 0.0024 0.7558  2 Se 2.69-2.81, 4 Ag 2.91-3.00
Ag 0.4039 0.4085 0.0497  2 Se 2.63-2.68, 4 Ag 2.90-2.95
Ag 0.4085 0.4039 0.5497  2 Se 2.63-2.68, 4 Ag 2.90-2.95
Ag 0.5915 0.5961 0.4503  2 Se 2.63-2.68, 4 Ag 2.90-2.95
Ag 0.5961 0.5915 0.9503  2 Se 2.63-2.68, 4 Ag 2.90-2.95
Ag 0.6040 0.9976 0.2442  2 Se 2.69-2.81, 4 Ag 2.91-3.00
Ag 0.8551 0.1449 0.2500  4 Ag 2.90-2.95, 4 Se 2.93-2.94
Ag 0.9976 0.6040 0.7442  2 Se 2.69-2.81, 4 Ag 2.91-3.00
Se 0.0584 0.6911 0.2768  6 Ag 2.63-2.94
Se 0.3089 0.9416 0.2232  6 Ag 2.63-2.94
Se 0.6911 0.0584 0.7768  6 Ag 2.63-2.94
Se 0.9416 0.3089 0.7232  6 Ag 2.63-2.94

=====

2.
# AgSe2

A relaxed AgSe2 crystal (GGA-PBE, Alexandria via LeMat-Bulk).

Computed properties:
V (Å³/f.u.): 78.38
Crystal system: monoclinic

a = 8.5651 Å, b = 8.5651 Å, c = 4.9756 Å
α = 90.53°, β = 90.53°, γ = 25.44°
Last column: nearest neighbours and their distance in Å.
Element x y z (fractional)
Ag 0.1456 0.1456 0.4564  5 Se 2.64-2.80
Ag 0.8544 0.8544 0.5436  5 Se 2.64-2.80
Se 0.2764 0.2764 0.8128  3 Ag 2.66-2.80, 2 Se 2.80
Se 0.4472 0.4472 0.3430  1 Se 2.35
Se 0.5528 0.5528 0.6570  1 Se 2.35
Se 0.7236 0.7236 0.1872  3 Ag 2.66-2.80, 2 Se 2.80

=====

3.
# AgSe2

A relaxed AgSe2 crystal (GGA-PBE, Alexandria via LeMat-Bulk).

Computed properties:
V (Å³/f.u.): 71.97
Crystal system: hexagonal

a = 4.2322 Å, b = 4.2322 Å, c = 9.2796 Å
α = 90.00°, β = 90.00°, γ = 120.00°
Last column: nearest neighbours and their distance in Å.
Element x y z (fractional)
Ag 0.0000 0.0000 0.2500  6 Se 2.75
Ag 0.0000 0.0000 0.7500  6 Se 2.75
Se 0.3333 0.6667 0.1130  1 Se 2.54, 3 Ag 2.75
Se 0.3333 0.6667 0.3870  1 Se 2.54, 3 Ag 2.75
Se 0.6667 0.3333 0.6130  1 Se 2.54, 3 Ag 2.75
Se 0.6667 0.3333 0.8870  1 Se 2.54, 3 Ag 2.75

=====

4.
# Ag3Se

A relaxed Ag3Se crystal (GGA-PBE, Alexandria via LeMat-Bulk).

Computed properties:
V (Å³/f.u.): 75.11
Crystal system: cubic

a = 4.2193 Å, b = 4.2193 Å, c = 4.2193 Å
α = 90.00°, β = 90.00°, γ = 90.00°
Last column: nearest neighbours and their distance in Å.
Element x y z (fractional)
Ag 0.0000 0.0000 0.5000  4 Se 2.98, 8 Ag 2.98
Ag 0.0000 0.5000 0.0000  4 Se 2.98, 8 Ag 2.98
Ag 0.5000 0.0000 0.0000  4 Se 2.98, 8 Ag 2.98
Se 0.5000 0.5000 0.5000  12 Ag 2.98

=====

5.
# Ag3Se

A relaxed Ag3Se crystal (GGA-PBE, Alexandria via LeMat-Bulk).

Computed properties:
V (Å³/f.u.): 81.70
Crystal system: orthorhombic

a = 5.6570 Å, b = 5.6570 Å, c = 5.1098 Å
α = 90.00°, β = 90.00°, γ = 92.18°
Last column: nearest neighbours and their distance in Å.
Element x y z (fractional)
Ag 0.0009 0.6393 0.2500  1 Se 2.73, 7 Ag 2.80-3.01
Ag 0.1163 0.8837 0.7500  1 Se 2.72, 8 Ag 2.80-3.01
Ag 0.3607 0.9991 0.2500  1 Se 2.73, 7 Ag 2.80-3.01
Ag 0.6393 0.0009 0.7500  1 Se 2.73, 7 Ag 2.80-3.01
Ag 0.8837 0.1163 0.2500  1 Se 2.72, 8 Ag 2.80-3.01
Ag 0.9991 0.3607 0.7500  1 Se 2.73, 7 Ag 2.80-3.01
Se 0.4504 0.5496 0.7500  2 Se 2.68, 3 Ag 2.72-2.73
Se 0.5496 0.4504 0.2500  2 Se 2.68, 3 Ag 2.72-2.73

=====

6.
# Ag7Se

A relaxed Ag7Se crystal (GGA-PBE, Alexandria via LeMat-Bulk).

Computed properties:
V (Å³/f.u.): 147.17
Crystal system: cubic

a = 5.9262 Å, b = 5.9262 Å, c = 5.9262 Å
α = 60.00°, β = 60.00°, γ = 60.00°
Last column: nearest neighbours and their distance in Å.
Element x y z (fractional)
Ag 0.0000 0.0000 0.0000  12 Ag 2.96
Ag 0.0000 0.0000 0.5000  2 Se 2.96, 10 Ag 2.96
Ag 0.0000 0.5000 0.0000  2 Se 2.96, 10 Ag 2.96
Ag 0.0000 0.5000 0.5000  2 Se 2.96, 10 Ag 2.96
Ag 0.5000 0.0000 0.0000  2 Se 2.96, 10 Ag 2.96
Ag 0.5000 0.0000 0.5000  2 Se 2.96, 10 Ag 2.96
Ag 0.5000 0.5000 0.0000  2 Se 2.96, 10 Ag 2.96
Se 0.5000 0.5000 0.5000  12 Ag 2.96

=====

7.
# Ag3Se

A relaxed Ag3Se crystal (GGA-PBE, Alexandria via LeMat-Bulk).

Computed properties:
V (Å³/f.u.): 76.12
Crystal system: orthorhombic

a = 4.8192 Å, b = 5.9557 Å, c = 5.3043 Å
α = 90.00°, β = 90.00°, γ = 90.00°
Last column: nearest neighbours and their distance in Å.
Element x y z (fractional)
Ag 0.2500 0.0008 0.1588  8 Ag 2.94-3.10, 4 Se 2.99-3.05
Ag 0.2500 0.2500 0.6723  8 Ag 2.97-3.10, 4 Se 2.98-2.99
Ag 0.2500 0.4992 0.1588  8 Ag 2.94-3.10, 4 Se 2.99-3.05
Ag 0.7500 0.5008 0.8412  8 Ag 2.94-3.10, 4 Se 2.99-3.05
Ag 0.7500 0.7500 0.3277  8 Ag 2.97-3.10, 4 Se 2.98-2.99
Ag 0.7500 0.9992 0.8412  8 Ag 2.94-3.10, 4 Se 2.99-3.05
Se 0.2500 0.7500 0.6606  12 Ag 2.98-3.05
Se 0.7500 0.2500 0.3394  12 Ag 2.98-3.05

=====

8.
# AgSe2

A relaxed AgSe2 crystal (GGA-PBE, Alexandria via LeMat-Bulk).

Computed properties:
V (Å³/f.u.): 66.89
Crystal system: monoclinic

a = 5.8544 Å, b = 5.8544 Å, c = 8.1473 Å
α = 97.74°, β = 97.74°, γ = 28.93°
Last column: nearest neighbours and their distance in Å.
Element x y z (fractional)
Ag 0.1095 0.1095 0.3536  5 Se 2.81-2.88, 2 Ag 2.92
Ag 0.8905 0.8905 0.6464  5 Se 2.81-2.88, 2 Ag 2.92
Se 0.3631 0.3631 0.3497  3 Ag 2.81-2.88, 2 Se 2.92
Se 0.3985 0.3985 0.9506  1 Se 2.33
Se 0.6015 0.6015 0.0494  1 Se 2.33
Se 0.6369 0.6369 0.6503  3 Ag 2.81-2.88, 2 Se 2.92

=====

One value per record, in order, for raw formation energy: 0.022 0.067 0.127 0.024 0.119 0.053 0.057 0.118 eV per atom.
One value per record, in order, for size of the total moment: 0.0 0.0 0.0 0.0 0.0 0.0 0.0 0.0 μB per cell.